## one
# PBE CaErIn, optimized geometry
data_CaErIn
_chemical_formula_sum 'Ca2 Er2 In2'
_cell_length_a 5.392
_cell_length_b 5.392
_cell_length_c 6.873
_cell_angle_alpha 90.00
_cell_angle_beta 90.00
_cell_angle_gamma 119.99
_space_group_name_H-M_alt 'P 1'
_space_group_IT_number 1
loop_
_space_group_symop_operation_xyz
'x,y,z'
loop_
_atom_site_label
_atom_site_type_symbol
_atom_site_fract_x
_atom_site_fract_y
_atom_site_fract_z
Ca1 Ca 0.000 0.500 0.500
In1 In 0.667 0.833 0.250
Ca2 Ca 0.000 0.500 0.000
In2 In 0.333 0.167 0.750
Er1 Er 0.667 0.833 0.750
Er2 Er 0.333 0.167 0.250
# magnetization	0.0	Bohr magnetons per cell



## two
# PBE CaErIn, optimized geometry
data_CaErIn
_chemical_formula_sum 'Ca1 Er1 In1'
_cell_length_a 3.612
_cell_length_b 3.612
_cell_length_c 7.438
_cell_angle_alpha 104.05
_cell_angle_beta 104.05
_cell_angle_gamma 90.00
_space_group_name_H-M_alt 'P 1'
_space_group_IT_number 1
loop_
_space_group_symop_operation_xyz
'x,y,z'
loop_
_atom_site_label
_atom_site_type_symbol
_atom_site_fract_x
_atom_site_fract_y
_atom_site_fract_z
Ca1 Ca 0.634 0.634 0.267
In1 In 0.289 0.289 0.577
Er1 Er 0.928 0.928 0.855
# magnetization	0.1	Bohr magnetons per cell



The least stable of them is two.



## one
# PBE CaErIn4, optimized geometry
data_CaErIn4
_chemical_formula_sum 'Ca1 Er1 In4'
_cell_length_a 4.983
_cell_length_b 4.987
_cell_length_c 8.868
_cell_angle_alpha 73.68
_cell_angle_beta 73.72
_cell_angle_gamma 120.00
_space_group_name_H-M_alt 'P 1'
_space_group_IT_number 1
loop_
_space_group_symop_operation_xyz
'x,y,z'
loop_
_atom_site_label
_atom_site_type_symbol
_atom_site_fract_x
_atom_site_fract_y
_atom_site_fract_z
In1 In 0.618 0.947 0.215
In2 In 0.458 0.120 0.708
In3 In 0.051 0.381 0.781
In4 In 0.878 0.540 0.288
Er1 Er 0.001 0.997 0.498
Ca1 Ca 0.502 0.497 0.998
# magnetization	0.0	Bohr magnetons per cell



## two
# PBE CaErIn4, optimized geometry
data_CaErIn4
_chemical_formula_sum 'Ca1 Er1 In4'
_cell_length_a 6.053
_cell_length_b 6.053
_cell_length_c 6.053
_cell_angle_alpha 60.00
_cell_angle_beta 60.00
_cell_angle_gamma 60.00
_space_group_name_H-M_alt 'P 1'
_space_group_IT_number 1
loop_
_space_group_symop_operation_xyz
'x,y,z'
loop_
_atom_site_label
_atom_site_type_symbol
_atom_site_fract_x
_atom_site_fract_y
_atom_site_fract_z
In1 In 0.625 0.124 0.625
In2 In 0.625 0.625 0.625
In3 In 0.625 0.625 0.124
In4 In 0.124 0.625 0.625
Ca1 Ca 0.250 0.250 0.250
Er1 Er 0.000 0.000 0.000
# magnetization	0.0	Bohr magnetons per cell



## three
# PBE CaErIn4, optimized geometry
data_CaErIn4
_chemical_formula_sum 'Ca1 Er1 In4'
_cell_length_a 3.609
_cell_length_b 4.978
_cell_length_c 8.691
_cell_angle_alpha 90.00
_cell_angle_beta 90.05
_cell_angle_gamma 90.00
_space_group_name_H-M_alt 'P 1'
_space_group_IT_number 1
loop_
_space_group_symop_operation_xyz
'x,y,z'
loop_
_atom_site_label
_atom_site_type_symbol
_atom_site_fract_x
_atom_site_fract_y
_atom_site_fract_z
Ca1 Ca 0.500 0.000 0.000
In1 In 0.032 0.000 0.664
In2 In 0.979 0.500 0.831
Er1 Er 0.500 0.500 0.500
In3 In 0.021 0.500 0.169
In4 In 0.968 0.000 0.336
# magnetization	0.0	Bohr magnetons per cell



The least stable of them is two.



## one
# PBE CaErZnIn, optimized geometry
data_CaErZnIn
_chemical_formula_sum 'Ca1 Er1 Zn1 In1'
_cell_length_a 3.650
_cell_length_b 3.650
_cell_length_c 7.599
_cell_angle_alpha 90.00
_cell_angle_beta 90.00
_cell_angle_gamma 90.00
_space_group_name_H-M_alt 'P 1'
_space_group_IT_number 1
loop_
_space_group_symop_operation_xyz
'x,y,z'
loop_
_atom_site_label
_atom_site_type_symbol
_atom_site_fract_x
_atom_site_fract_y
_atom_site_fract_z
In1 In 0.000 0.000 0.868
Zn1 Zn 0.000 0.000 0.340
Er1 Er 0.500 0.500 0.128
Ca1 Ca 0.500 0.500 0.592
# magnetization	0.2	Bohr magnetons per cell



## two
# PBE CaErZnIn, optimized geometry
data_CaErZnIn
_chemical_formula_sum 'Ca1 Er1 Zn1 In1'
_cell_length_a 5.231
_cell_length_b 5.231
_cell_length_c 5.231
_cell_angle_alpha 60.00
_cell_angle_beta 60.00
_cell_angle_gamma 60.00
_space_group_name_H-M_alt 'P 1'
_space_group_IT_number 1
loop_
_space_group_symop_operation_xyz
'x,y,z'
loop_
_atom_site_label
_atom_site_type_symbol
_atom_site_fract_x
_atom_site_fract_y
_atom_site_fract_z
Zn1 Zn 0.000 0.000 0.000
In1 In 0.500 0.500 0.500
Ca1 Ca 0.250 0.250 0.250
Er1 Er 0.750 0.750 0.750
# magnetization	0.0	Bohr magnetons per cell



The least stable of them is two.



## one
# PBE CaErIr, optimized geometry
data_CaErIr
_chemical_formula_sum 'Ca4 Er4 Ir4'
_cell_length_a 5.242
_cell_length_b 8.903
_cell_length_c 8.903
_cell_angle_alpha 60.23
_cell_angle_beta 68.56
_cell_angle_gamma 68.56
_space_group_name_H-M_alt 'P 1'
_space_group_IT_number 1
loop_
_space_group_symop_operation_xyz
'x,y,z'
loop_
_atom_site_label
_atom_site_type_symbol
_atom_site_fract_x
_atom_site_fract_y
_atom_site_fract_z
Ca1 Ca 0.802 0.843 0.593
Ir1 Ir 0.115 0.976 0.226
Ir2 Ir 0.885 0.024 0.774
Ca2 Ca 0.198 0.157 0.407
Ca3 Ca 0.198 0.657 0.907
Ir3 Ir 0.115 0.476 0.726
Er1 Er 0.281 0.102 0.852
Ir4 Ir 0.885 0.524 0.274
Ca4 Ca 0.802 0.343 0.093
Er2 Er 0.719 0.398 0.648
Er3 Er 0.719 0.898 0.148
Er4 Er 0.281 0.602 0.352
# magnetization	0.0	Bohr magnetons per cell



## two
# PBE CaErIr, optimized geometry
data_CaErIr
_chemical_formula_sum 'Ca1 Er1 Ir1'
_cell_length_a 3.427
_cell_length_b 3.427
_cell_length_c 6.996
_cell_angle_alpha 104.18
_cell_angle_beta 104.18
_cell_angle_gamma 90.00
_space_group_name_H-M_alt 'P 1'
_space_group_IT_number 1
loop_
_space_group_symop_operation_xyz
'x,y,z'
loop_
_atom_site_label
_atom_site_type_symbol
_atom_site_fract_x
_atom_site_fract_y
_atom_site_fract_z
Er1 Er 0.289 0.289 0.577
Ca1 Ca 0.034 0.034 0.069
Ir1 Ir 0.677 0.677 0.354
# magnetization	0.0	Bohr magnetons per cell



## three
# PBE CaErIr, optimized geometry
data_CaErIr
_chemical_formula_sum 'Ca2 Er2 Ir2'
_cell_length_a 3.659
_cell_length_b 6.830
_cell_length_c 6.861
_cell_angle_alpha 76.59
_cell_angle_beta 90.04
_cell_angle_gamma 90.00
_space_group_name_H-M_alt 'P 1'
_space_group_IT_number 1
loop_
_space_group_symop_operation_xyz
'x,y,z'
loop_
_atom_site_label
_atom_site_type_symbol
_atom_site_fract_x
_atom_site_fract_y
_atom_site_fract_z
Ca1 Ca 0.123 0.889 0.101
Ir1 Ir 0.124 0.240 0.765
Ir2 Ir 0.124 0.687 0.762
Er1 Er 0.623 0.999 0.613
Ca2 Ca 0.624 0.396 0.037
Er2 Er 0.623 0.516 0.540
# magnetization	0.0	Bohr magnetons per cell



## four
# PBE CaErIr, optimized geometry
data_CaErIr
_chemical_formula_sum 'Ca1 Er1 Ir1'
_cell_length_a 4.794
_cell_length_b 4.794
_cell_length_c 4.794
_cell_angle_alpha 60.00
_cell_angle_beta 60.00
_cell_angle_gamma 60.00
_space_group_name_H-M_alt 'P 1'
_space_group_IT_number 1
loop_
_space_group_symop_operation_xyz
'x,y,z'
loop_
_atom_site_label
_atom_site_type_symbol
_atom_site_fract_x
_atom_site_fract_y
_atom_site_fract_z
Ca1 Ca 0.000 0.000 0.000
Er1 Er 0.500 0.500 0.500
Ir1 Ir 0.250 0.250 0.250
# magnetization	0.0	Bohr magnetons per cell



The least stable of them is three.



## one
# PBE CaLaEr2, optimized geometry
data_CaLaEr2
_chemical_formula_sum 'Ca1 La1 Er2'
_cell_length_a 3.627
_cell_length_b 3.627
_cell_length_c 12.190
_cell_angle_alpha 81.44
_cell_angle_beta 81.44
_cell_angle_gamma 60.00
_space_group_name_H-M_alt 'P 1'
_space_group_IT_number 1
loop_
_space_group_symop_operation_xyz
'x,y,z'
loop_
_atom_site_label
_atom_site_type_symbol
_atom_site_fract_x
_atom_site_fract_y
_atom_site_fract_z
Er1 Er 0.080 0.080 0.759
Er2 Er 0.253 0.253 0.241
La1 La 0.666 0.666 0.001
Ca1 Ca 0.500 0.500 0.499
# magnetization	0.0	Bohr magnetons per cell



## two
# PBE CaLaEr2, optimized geometry
data_CaLaEr2
_chemical_formula_sum 'Ca1 La1 Er2'
_cell_length_a 3.683
_cell_length_b 3.683
_cell_length_c 10.251
_cell_angle_alpha 90.00
_cell_angle_beta 90.00
_cell_angle_gamma 90.00
_space_group_name_H-M_alt 'P 1'
_space_group_IT_number 1
loop_
_space_group_symop_operation_xyz
'x,y,z'
loop_
_atom_site_label
_atom_site_type_symbol
_atom_site_fract_x
_atom_site_fract_y
_atom_site_fract_z
Er1 Er 0.000 0.000 0.764
La1 La 0.500 0.500 0.000
Er2 Er 0.000 0.000 0.236
Ca1 Ca 0.500 0.500 0.500
# magnetization	0.0	Bohr magnetons per cell



## three
# PBE CaLaEr2, optimized geometry
data_CaLaEr2
_chemical_formula_sum 'Ca1 La1 Er2'
_cell_length_a 5.283
_cell_length_b 5.100
_cell_length_c 5.100
_cell_angle_alpha 90.00
_cell_angle_beta 90.00
_cell_angle_gamma 90.00
_space_group_name_H-M_alt 'P 1'
_space_group_IT_number 1
loop_
_space_group_symop_operation_xyz
'x,y,z'
loop_
_atom_site_label
_atom_site_type_symbol
_atom_site_fract_x
_atom_site_fract_y
_atom_site_fract_z
Er1 Er 0.000 0.000 0.500
La1 La 0.500 0.000 0.000
Ca1 Ca 0.500 0.500 0.500
Er2 Er 0.000 0.500 0.000
# magnetization	0.0	Bohr magnetons per cell



## four
# PBE CaLaEr2, optimized geometry
data_CaLaEr2
_chemical_formula_sum 'Ca1 La1 Er2'
_cell_length_a 5.803
_cell_length_b 5.803
_cell_length_c 5.803
_cell_angle_alpha 60.00
_cell_angle_beta 60.00
_cell_angle_gamma 60.00
_space_group_name_H-M_alt 'P 1'
_space_group_IT_number 1
loop_
_space_group_symop_operation_xyz
'x,y,z'
loop_
_atom_site_label
_atom_site_type_symbol
_atom_site_fract_x
_atom_site_fract_y
_atom_site_fract_z
Er1 Er 0.750 0.750 0.750
Ca1 Ca 0.500 0.500 0.500
La1 La 0.000 0.000 0.000
Er2 Er 0.250 0.250 0.250
# magnetization	0.0	Bohr magnetons per cell



The least stable of them is four.



## one
# PBE Ca2LaEr, optimized geometry
data_Ca2LaEr
_chemical_formula_sum 'Ca2 La1 Er1'
_cell_length_a 3.719
_cell_length_b 6.409
_cell_length_c 8.395
_cell_angle_alpha 50.50
_cell_angle_beta 77.28
_cell_angle_gamma 89.83
_space_group_name_H-M_alt 'P 1'
_space_group_IT_number 1
loop_
_space_group_symop_operation_xyz
'x,y,z'
loop_
_atom_site_label
_atom_site_type_symbol
_atom_site_fract_x
_atom_site_fract_y
_atom_site_fract_z
Er1 Er 0.800 0.231 0.185
Ca1 Ca 0.052 0.981 0.681
Ca2 Ca 0.548 0.482 0.689
La1 La 0.300 0.732 0.185
# magnetization	0.0	Bohr magnetons per cell



## two
# PBE Ca2LaEr, optimized geometry
data_Ca2LaEr
_chemical_formula_sum 'Ca2 La1 Er1'
_cell_length_a 4.274
_cell_length_b 5.883
_cell_length_c 5.883
_cell_angle_alpha 90.00
_cell_angle_beta 90.00
_cell_angle_gamma 90.00
_space_group_name_H-M_alt 'P 1'
_space_group_IT_number 1
loop_
_space_group_symop_operation_xyz
'x,y,z'
loop_
_atom_site_label
_atom_site_type_symbol
_atom_site_fract_x
_atom_site_fract_y
_atom_site_fract_z
Er1 Er 0.500 0.500 0.500
La1 La 0.500 0.000 0.000
Ca1 Ca 0.000 0.500 0.000
Ca2 Ca 0.000 0.000 0.500
# magnetization	0.0	Bohr magnetons per cell



The least stable of them is two.



## one
# PBE Ca2LaEr, optimized geometry
data_Ca2LaEr
_chemical_formula_sum 'Ca2 La1 Er1'
_cell_length_a 3.600
_cell_length_b 3.600
_cell_length_c 13.430
_cell_angle_alpha 82.30
_cell_angle_beta 82.30
_cell_angle_gamma 60.00
_space_group_name_H-M_alt 'P 1'
_space_group_IT_number 1
loop_
_space_group_symop_operation_xyz
'x,y,z'
loop_
_atom_site_label
_atom_site_type_symbol
_atom_site_fract_x
_atom_site_fract_y
_atom_site_fract_z
Er1 Er 0.500 0.500 0.500
La1 La 0.000 0.000 0.000
Ca1 Ca 0.910 0.910 0.269
Ca2 Ca 0.090 0.090 0.731
# magnetization	0.7	Bohr magnetons per cell



## two
# PBE Ca2LaEr, optimized geometry
data_Ca2LaEr
_chemical_formula_sum 'Ca2 La1 Er1'
_cell_length_a 4.176
_cell_length_b 4.176
_cell_length_c 8.479
_cell_angle_alpha 90.00
_cell_angle_beta 90.00
_cell_angle_gamma 90.00
_space_group_name_H-M_alt 'P 1'
_space_group_IT_number 1
loop_
_space_group_symop_operation_xyz
'x,y,z'
loop_
_atom_site_label
_atom_site_type_symbol
_atom_site_fract_x
_atom_site_fract_y
_atom_site_fract_z
La1 La 0.500 0.500 0.500
Ca1 Ca 0.000 0.000 0.763
Er1 Er 0.500 0.500 0.000
Ca2 Ca 0.000 0.000 0.237
# magnetization	0.0	Bohr magnetons per cell



The least stable of them is one.



## one
# PBE Ca2LaEr, optimized geometry
data_Ca2LaEr
_chemical_formula_sum 'Ca2 La1 Er1'
_cell_length_a 5.939
_cell_length_b 5.939
_cell_length_c 5.939
_cell_angle_alpha 60.00
_cell_angle_beta 60.00
_cell_angle_gamma 60.00
_space_group_name_H-M_alt 'P 1'
_space_group_IT_number 1
loop_
_space_group_symop_operation_xyz
'x,y,z'
loop_
_atom_site_label
_atom_site_type_symbol
_atom_site_fract_x
_atom_site_fract_y
_atom_site_fract_z
Er1 Er 0.000 0.000 0.000
Ca1 Ca 0.750 0.750 0.750
Ca2 Ca 0.250 0.250 0.250
La1 La 0.500 0.500 0.500
# magnetization	0.0	Bohr magnetons per cell



## two
# PBE Ca2LaEr, optimized geometry
data_Ca2LaEr
_chemical_formula_sum 'Ca2 La1 Er1'
_cell_length_a 3.705
_cell_length_b 3.705
_cell_length_c 12.608
_cell_angle_alpha 81.55
_cell_angle_beta 81.55
_cell_angle_gamma 60.00
_space_group_name_H-M_alt 'P 1'
_space_group_IT_number 1
loop_
_space_group_symop_operation_xyz
'x,y,z'
loop_
_atom_site_label
_atom_site_type_symbol
_atom_site_fract_x
_atom_site_fract_y
_atom_site_fract_z
Ca1 Ca 0.086 0.086 0.742
Er1 Er 0.500 0.500 0.499
Ca2 Ca 0.247 0.247 0.259
La1 La 0.667 0.667 0.000
# magnetization	0.7	Bohr magnetons per cell



The least stable of them is one.